Density functional theory data (GGA-PBE) for an optimized crystal structure of Cu7Ag3.

The space group is R-3m (No. 166, hexagonal axes) and the conventional cell measures 2.7294, 2.7294 and 64.3163 Å, with angles of 90.00, 90.00 and 120.00 degrees. Symmetry generates all atoms from Cu at (0.0000, 0.0000, 0.0000), Cu at (0.0000, 0.0000, 0.0923), Cu at (0.0000, 0.0000, 0.3025), Cu at (0.0000, 0.0000, 0.3951), Ag at (0.0000, 0.0000, 0.2061) and Ag at (0.0000, 0.0000, 0.5000).

The calculation puts the formation energy from the elements at 88 meV/atom. For the energy, the calculation gives -3.36 eV/atom. The calculation puts the energy above the most stable polymorph in this dataset at 0.435 eV/f.u.

***

Density functional theory data (GGA-PBE) for an optimized crystal structure of La2SbPPd2.

The space group is P-6m2 (No. 187) and the conventional cell measures 4.4841, 4.4841 and 8.1049 Å, with angles of 90.00, 90.00 and 120.00 degrees. Symmetry generates all atoms from La at (0.0000, 0.0000, 0.2359), Sb at (0.3333, 0.6667, 0.5000), P at (0.6667, 0.3333, 0.0000), Pd at (0.3333, 0.6667, 0.0000) and Pd at (0.6667, 0.3333, 0.5000).

For the energy, the calculation gives -6.14 eV/atom.

***

Density functional theory data (GGA-PBE) for an optimized crystal structure of AlZnCd.

The space group is F-43m (No. 216) and the conventional cell measures 6.270, 6.270 and 6.270 Å, with angles of 90.00, 90.00 and 90.00 degrees. Symmetry generates all atoms from Al at (0.000, 0.000, 0.000), Zn at (0.000, 0.000, 0.500) and Cd at (0.250, 0.250, 0.250).

For the energy, the calculation gives -1.74 eV/atom. The calculation puts the energy above the most stable polymorph in this dataset at 0.360 eV/f.u.

***

Density functional theory data (GGA-PBE) for an optimized crystal structure of ZnCoOsW.

The space group is F-43m (No. 216) and the conventional cell measures 6.045, 6.045 and 6.045 Å, with angles of 90.00, 90.00 and 90.00 degrees. Symmetry generates all atoms from Zn at (0.000, 0.000, 0.000), Co at (0.250, 0.250, 0.250), Os at (0.250, 0.250, 0.750) and W at (0.000, 0.000, 0.500).

The calculation puts the formation energy from the elements at 77 meV/atom. For the energy, the calculation gives -8.06 eV/atom. The calculation puts the energy above the most stable polymorph in this dataset at 0.000 eV/f.u.

***

Density functional theory data (GGA-PBE) for an optimized crystal structure of La3PrBr2N2.

The space group is P3m1 (No. 156) and the conventional cell measures 3.7755, 3.7755 and 14.9602 Å, with angles of 90.00, 90.00 and 120.00 degrees. Symmetry generates all atoms from La at (0.0000, 0.0000, 0.0000), La at (0.0000, 0.0000, 0.3199), La at (0.6667, 0.3333, 0.5023), Pr at (0.6667, 0.3333, 0.8199), Br at (0.0000, 0.0000, 0.6642), Br at (0.6667, 0.3333, 0.1607), N at (0.3333, 0.6667, 0.4113) and N at (0.3333, 0.6667, 0.9103).

For the energy, the calculation gives -6.41 eV/atom.

***

Density functional theory data (GGA-PBE) for an optimized crystal structure of TbSiGe.

The space group is F-43m (No. 216) and the conventional cell measures 6.576, 6.576 and 6.576 Å, with angles of 90.00, 90.00 and 90.00 degrees. Symmetry generates all atoms from Tb at (0.000, 0.000, 0.000), Si at (0.000, 0.000, 0.500) and Ge at (0.250, 0.250, 0.750).

For the energy, the calculation gives -4.91 eV/atom. The calculation puts the energy above the most stable polymorph in this dataset at 0.225 eV/f.u.